No. 1
# BaMn3Ir (PBE, relaxed)
# E above lowest polymorph	0	meV/atom
# magnetization	12.9	μB/f.u.
# energy of formation from the pure elements	2.400	eV per formula unit
data_BaMn3Ir
_chemical_formula_sum 'Ba1 Mn3 Ir1'
_cell_length_a 4.999
_cell_length_b 4.999
_cell_length_c 4.999
_cell_angle_alpha 90.00
_cell_angle_beta 90.00
_cell_angle_gamma 90.00
_space_group_name_H-M_alt 'P m -3 m'
_space_group_IT_number 221
_space_group_name_Hall '-P 4 2 3'
loop_
_atom_site_label
_atom_site_type_symbol
_atom_site_fract_x
_atom_site_fract_y
_atom_site_fract_z
Ba1 Ba 0.000 0.000 0.000
Mn1 Mn 0.000 0.500 0.500
Ir1 Ir 0.500 0.500 0.500


No. 2
# Ba2MnIr (PBE, relaxed)
# E above lowest polymorph	0	meV/atom
# magnetization	3.9	μB/f.u.
# energy of formation from the pure elements	-0.084	eV per formula unit
data_Ba2MnIr
_chemical_formula_sum 'Ba4 Mn2 Ir2'
_cell_length_a 7.560
_cell_length_b 4.363
_cell_length_c 9.191
_cell_angle_alpha 90.00
_cell_angle_beta 105.41
_cell_angle_gamma 90.00
_space_group_name_H-M_alt 'C 1 m 1'
_space_group_IT_number 8
_space_group_name_Hall 'C -2y'
loop_
_atom_site_label
_atom_site_type_symbol
_atom_site_fract_x
_atom_site_fract_y
_atom_site_fract_z
Ba1 Ba 0.000 0.000 0.000
Ba2 Ba 0.165 0.000 0.511
Mn1 Mn 0.249 0.500 0.256
Ir1 Ir 0.416 0.000 0.255


No. 3
# Ba3MnIr (PBE, relaxed)
# E above lowest polymorph	0	meV/atom
# magnetization	4.5	μB/f.u.
# energy of formation from the pure elements	1.719	eV per formula unit
data_Ba3MnIr
_chemical_formula_sum 'Ba3 Mn1 Ir1'
_cell_length_a 6.086
_cell_length_b 6.086
_cell_length_c 6.086
_cell_angle_alpha 90.00
_cell_angle_beta 90.00
_cell_angle_gamma 90.00
_space_group_name_H-M_alt 'P m -3 m'
_space_group_IT_number 221
_space_group_name_Hall '-P 4 2 3'
loop_
_atom_site_label
_atom_site_type_symbol
_atom_site_fract_x
_atom_site_fract_y
_atom_site_fract_z
Ba1 Ba 0.000 0.000 0.500
Mn1 Mn 0.500 0.500 0.500
Ir1 Ir 0.000 0.000 0.000


No. 4
# Ba2MnIr (PBE, relaxed)
# E above lowest polymorph	266	meV/atom
# magnetization	3.9	μB/f.u.
# energy of formation from the pure elements	0.981	eV per formula unit
data_Ba2MnIr
_chemical_formula_sum 'Ba2 Mn1 Ir1'
_cell_length_a 3.642
_cell_length_b 3.642
_cell_length_c 9.472
_cell_angle_alpha 90.00
_cell_angle_beta 90.00
_cell_angle_gamma 90.00
_space_group_name_H-M_alt 'P 4 m m'
_space_group_IT_number 99
_space_group_name_Hall 'P 4 -2'
loop_
_atom_site_label
_atom_site_type_symbol
_atom_site_fract_x
_atom_site_fract_y
_atom_site_fract_z
Ba1 Ba 0.000 0.000 0.000
Ba2 Ba 0.500 0.500 0.425
Mn1 Mn 0.500 0.500 0.745
Ir1 Ir 0.000 0.000 0.679


No. 5
# Ba2MnIr (PBE, relaxed)
# E above lowest polymorph	490	meV/atom
# magnetization	4.4	μB/f.u.
# energy of formation from the pure elements	1.875	eV per formula unit
data_Ba2MnIr
_chemical_formula_sum 'Ba2 Mn1 Ir1'
_cell_length_a 3.852
_cell_length_b 3.903
_cell_length_c 8.184
_cell_angle_alpha 90.00
_cell_angle_beta 90.00
_cell_angle_gamma 90.00
_space_group_name_H-M_alt 'P m m m'
_space_group_IT_number 47
_space_group_name_Hall '-P 2 2'
loop_
_atom_site_label
_atom_site_type_symbol
_atom_site_fract_x
_atom_site_fract_y
_atom_site_fract_z
Ba1 Ba 0.000 0.000 0.218
Mn1 Mn 0.500 0.500 0.500
Ir1 Ir 0.500 0.500 0.000


No. 6
# Ba2MnIr (PBE, relaxed)
# E above lowest polymorph	258	meV/atom
# magnetization	4.0	μB/f.u.
# energy of formation from the pure elements	0.948	eV per formula unit
data_Ba2MnIr
_chemical_formula_sum 'Ba8 Mn4 Ir4'
_cell_length_a 11.638
_cell_length_b 11.638
_cell_length_c 4.952
_cell_angle_alpha 90.00
_cell_angle_beta 90.00
_cell_angle_gamma 90.00
_space_group_name_H-M_alt 'I -4 2 d'
_space_group_IT_number 122
_space_group_name_Hall 'I -4 2bw'
loop_
_atom_site_label
_atom_site_type_symbol
_atom_site_fract_x
_atom_site_fract_y
_atom_site_fract_z
Ba1 Ba 0.076 0.250 0.125
Mn1 Mn 0.000 0.000 0.500
Ir1 Ir 0.000 0.000 0.000


No. 7
# BaMn3Ir (PBE, relaxed)
# E above lowest polymorph	2007	meV/atom
# magnetization	10.9	μB/f.u.
# energy of formation from the pure elements	12.437	eV per formula unit
data_BaMn3Ir
_chemical_formula_sum 'Ba1 Mn3 Ir1'
_cell_length_a 4.886
_cell_length_b 4.886
_cell_length_c 4.886
_cell_angle_alpha 90.00
_cell_angle_beta 90.00
_cell_angle_gamma 90.00
_space_group_name_H-M_alt 'P m -3 m'
_space_group_IT_number 221
_space_group_name_Hall '-P 4 2 3'
loop_
_atom_site_label
_atom_site_type_symbol
_atom_site_fract_x
_atom_site_fract_y
_atom_site_fract_z
Ba1 Ba 0.000 0.000 0.000
Mn1 Mn 0.000 0.000 0.500
Ir1 Ir 0.500 0.500 0.500


No. 8
# Ba2MnIr (PBE, relaxed)
# E above lowest polymorph	606	meV/atom
# magnetization	4.4	μB/f.u.
# energy of formation from the pure elements	2.339	eV per formula unit
data_Ba2MnIr
_chemical_formula_sum 'Ba4 Mn2 Ir2'
_cell_length_a 7.790
_cell_length_b 4.489
_cell_length_c 9.011
_cell_angle_alpha 90.00
_cell_angle_beta 106.65
_cell_angle_gamma 90.00
_space_group_name_H-M_alt 'C 1 2/m 1'
_space_group_IT_number 12
_space_group_name_Hall '-C 2y'
loop_
_atom_site_label
_atom_site_type_symbol
_atom_site_fract_x
_atom_site_fract_y
_atom_site_fract_z
Ba1 Ba 0.231 0.000 0.194
Mn1 Mn 0.000 0.000 0.500
Ir1 Ir 0.000 0.500 0.000


No. 9
# Ba2MnIr (PBE, relaxed)
# E above lowest polymorph	522	meV/atom
# magnetization	4.3	μB/f.u.
# energy of formation from the pure elements	2.004	eV per formula unit
data_Ba2MnIr
_chemical_formula_sum 'Ba2 Mn1 Ir1'
_cell_length_a 5.266
_cell_length_b 5.266
_cell_length_c 4.242
_cell_angle_alpha 90.00
_cell_angle_beta 90.00
_cell_angle_gamma 90.00
_space_group_name_H-M_alt 'P 4/m m m'
_space_group_IT_number 123
_space_group_name_Hall '-P 4 2'
loop_
_atom_site_label
_atom_site_type_symbol
_atom_site_fract_x
_atom_site_fract_y
_atom_site_fract_z
Ba1 Ba 0.000 0.500 0.000
Mn1 Mn 0.000 0.000 0.500
Ir1 Ir 0.500 0.500 0.500


No. 10
# Ba2MnIr (PBE, relaxed)
# E above lowest polymorph	131	meV/atom
# magnetization	4.2	μB/f.u.
# energy of formation from the pure elements	0.439	eV per formula unit
data_Ba2MnIr
_chemical_formula_sum 'Ba4 Mn2 Ir2'
_cell_length_a 4.380
_cell_length_b 4.851
_cell_length_c 12.463
_cell_angle_alpha 90.00
_cell_angle_beta 90.00
_cell_angle_gamma 90.00
_space_group_name_H-M_alt 'A m m 2'
_space_group_IT_number 38
_space_group_name_Hall 'A 2 -2'
loop_
_atom_site_label
_atom_site_type_symbol
_atom_site_fract_x
_atom_site_fract_y
_atom_site_fract_z
Ba1 Ba 0.000 0.000 0.000
Ba2 Ba 0.500 0.000 0.277
Mn1 Mn 0.500 0.000 0.591
Ir1 Ir 0.000 0.000 0.685


No. 11
# BaMnIr4 (PBE, relaxed)
# magnetization	4.9	μB/f.u.
# energy of formation from the pure elements	1.606	eV per formula unit
data_BaMnIr4
_chemical_formula_sum 'Ba4 Mn4 Ir16'
_cell_length_a 7.667
_cell_length_b 7.667
_cell_length_c 7.667
_cell_angle_alpha 90.00
_cell_angle_beta 90.00
_cell_angle_gamma 90.00
_space_group_name_H-M_alt 'F -4 3 m'
_space_group_IT_number 216
_space_group_name_Hall 'F -4 2 3'
loop_
_atom_site_label
_atom_site_type_symbol
_atom_site_fract_x
_atom_site_fract_y
_atom_site_fract_z
Ba1 Ba 0.000 0.000 0.000
Mn1 Mn 0.250 0.250 0.250
Ir1 Ir 0.124 0.124 0.624


No. 12
# Ba2MnIr (PBE, relaxed)
# E above lowest polymorph	571	meV/atom
# magnetization	4.5	μB/f.u.
# energy of formation from the pure elements	2.199	eV per formula unit
data_Ba2MnIr
_chemical_formula_sum 'Ba8 Mn4 Ir4'
_cell_length_a 7.550
_cell_length_b 7.550
_cell_length_c 7.550
_cell_angle_alpha 90.00
_cell_angle_beta 90.00
_cell_angle_gamma 90.00
_space_group_name_H-M_alt 'F -4 3 m'
_space_group_IT_number 216
_space_group_name_Hall 'F -4 2 3'
loop_
_atom_site_label
_atom_site_type_symbol
_atom_site_fract_x
_atom_site_fract_y
_atom_site_fract_z
Ba1 Ba 0.000 0.000 0.000
Ba2 Ba 0.250 0.250 0.250
Mn1 Mn 0.000 0.000 0.500
Ir1 Ir 0.250 0.250 0.750


What is the energy of formation from the pure elements in the eighth record? 2.339 eV per formula unit


Among the records above, which one has the highest energy of formation from the pure elements? number 7


What is the magnetization in the first record? 12.9 μB/f.u.


Copy entry 10 word for word.
# Ba2MnIr (PBE, relaxed)
# E above lowest polymorph	131	meV/atom
# magnetization	4.2	μB/f.u.
# energy of formation from the pure elements	0.439	eV per formula unit
data_Ba2MnIr
_chemical_formula_sum 'Ba4 Mn2 Ir2'
_cell_length_a 4.380
_cell_length_b 4.851
_cell_length_c 12.463
_cell_angle_alpha 90.00
_cell_angle_beta 90.00
_cell_angle_gamma 90.00
_space_group_name_H-M_alt 'A m m 2'
_space_group_IT_number 38
_space_group_name_Hall 'A 2 -2'
loop_
_atom_site_label
_atom_site_type_symbol
_atom_site_fract_x
_atom_site_fract_y
_atom_site_fract_z
Ba1 Ba 0.000 0.000 0.000
Ba2 Ba 0.500 0.000 0.277
Mn1 Mn 0.500 0.000 0.591
Ir1 Ir 0.000 0.000 0.685